1.
Here is a geometry-optimized ZnGaPb2I structure from Alexandria. Energies are from PBE.

**Formation energy without anion corrections**: 0.96 eV per formula unit
**N(E_F)**: 2.3 states/eV/cell
**Total moment**: 0.0000 μB/atom

Cell: 5.806 5.143 5.806 Å, 90.00 90.00 90.00°
Fractional positions:
I (0.500, 0.500, 0.500)
Pb (0.000, 0.000, 0.500)
Pb (0.500, 0.000, 0.000)
Ga (0.000, 0.500, 0.000)
Zn (0.000, 0.000, 0.000)



2.
Here is a geometry-optimized GaPd3I structure from Alexandria. Energies are from PBE.

**E above lowest polymorph**: 0.0000 eV/atom
**Formation energy without anion corrections**: 0.82 eV per formula unit
**N(E_F)**: 0.0 states/eV/cell
**Total moment**: 0.0000 μB/atom

Cell: 4.738 4.738 4.738 Å, 90.00 90.00 90.00°
Fractional positions:
Ga (0.000, 0.000, 0.000)
Pd (0.000, 0.000, 0.500)
Pd (0.000, 0.500, 0.000)
Pd (0.500, 0.000, 0.000)
I (0.500, 0.500, 0.500)



3.
Here is a geometry-optimized Ga6PdI12 structure from Alexandria. Energies are from PBE.

**Formation energy without anion corrections**: -6.02 eV per formula unit
**N(E_F)**: 2.0 states/eV/cell
**Total moment**: 0.0000 μB/atom

Cell: 11.996 11.996 11.996 Å, 116.16 116.16 116.16°
Fractional positions:
I (0.101, 0.142, 0.762)
I (0.899, 0.858, 0.238)
I (0.238, 0.899, 0.858)
I (0.673, 0.334, 0.475)
I (0.475, 0.673, 0.334)
I (0.142, 0.762, 0.101)
I (0.858, 0.238, 0.899)
I (0.666, 0.525, 0.327)
I (0.762, 0.101, 0.142)
I (0.334, 0.475, 0.673)
I (0.525, 0.327, 0.666)
I (0.327, 0.666, 0.525)
Ga (0.727, 0.947, 0.856)
Ga (0.273, 0.053, 0.144)
Ga (0.947, 0.856, 0.727)
Ga (0.053, 0.144, 0.273)
Ga (0.144, 0.273, 0.053)
Ga (0.856, 0.727, 0.947)
Pd (0.000, 0.000, 0.000)



4.
Here is a geometry-optimized GaPd7I12 structure from Alexandria. Energies are from PBE.

**Formation energy without anion corrections**: -3.43 eV per formula unit
**N(E_F)**: 17.4 states/eV/cell
**Total moment**: 0.0645 μB/atom

Cell: 9.000 9.000 9.000 Å, 107.10 107.10 107.10°
Fractional positions:
I (0.223, 0.069, 0.704)
I (0.851, 0.625, 0.561)
I (0.296, 0.777, 0.931)
I (0.439, 0.149, 0.375)
I (0.625, 0.561, 0.851)
I (0.777, 0.931, 0.296)
I (0.931, 0.296, 0.777)
I (0.704, 0.223, 0.069)
I (0.375, 0.439, 0.149)
I (0.561, 0.851, 0.625)
I (0.069, 0.704, 0.223)
I (0.149, 0.375, 0.439)
Pd (0.102, 0.035, 0.318)
Pd (0.682, 0.898, 0.965)
Pd (0.035, 0.318, 0.102)
Pd (0.500, 0.500, 0.500)
Pd (0.898, 0.965, 0.682)
Pd (0.318, 0.102, 0.035)
Pd (0.965, 0.682, 0.898)
Ga (0.000, 0.000, 0.000)



5.
Here is a geometry-optimized GaPd2I8 structure from Alexandria. Energies are from PBE.

**Formation energy without anion corrections**: -1.05 eV per formula unit
**N(E_F)**: 8.1 states/eV/cell
**Total moment**: 0.0001 μB/atom

Cell: 7.510 8.351 8.351 Å, 73.39 71.61 71.61°
Fractional positions:
I (0.175, 0.277, 0.908)
I (0.175, 0.908, 0.277)
I (0.825, 0.723, 0.092)
I (0.825, 0.092, 0.723)
I (0.334, 0.797, 0.797)
I (0.114, 0.377, 0.377)
I (0.886, 0.623, 0.623)
I (0.666, 0.203, 0.203)
Pd (0.650, 0.840, 0.840)
Pd (0.350, 0.160, 0.160)
Ga (0.000, 0.000, 0.000)



6.
Here is a geometry-optimized GaPdI2 structure from Alexandria. Energies are from PBE.

**E above lowest polymorph**: 0.0000 eV/atom
**Formation energy without anion corrections**: -0.14 eV per formula unit
**N(E_F)**: 9.6 states/eV/cell
**Total moment**: 0.0000 μB/atom

Cell: 6.835 6.835 8.108 Å, 65.07 65.07 90.00°
Fractional positions:
I (0.070, 0.625, 0.250)
I (0.875, 0.930, 0.750)
I (0.680, 0.125, 0.250)
I (0.375, 0.320, 0.750)
Ga (0.250, 0.750, 0.500)
Ga (0.500, 0.500, 0.000)
Pd (0.750, 0.250, 0.500)
Pd (0.000, 0.000, 0.000)



7.
Here is a geometry-optimized GaPd3I structure from Alexandria. Energies are from PBE.

**E above lowest polymorph**: 0.3044 eV/atom
**Formation energy without anion corrections**: 2.35 eV per formula unit
**N(E_F)**: 0.0 states/eV/cell
**Total moment**: 0.0000 μB/atom

Cell: 5.030 5.030 5.030 Å, 90.00 90.00 90.00°
Fractional positions:
Ga (0.500, 0.500, 0.500)
Pd (0.000, 0.500, 0.000)
Pd (0.000, 0.000, 0.500)
Pd (0.500, 0.000, 0.000)
I (0.000, 0.000, 0.000)



8.
Here is a geometry-optimized GaPdI2 structure from Alexandria. Energies are from PBE.

**E above lowest polymorph**: 0.2316 eV/atom
**Formation energy without anion corrections**: 0.79 eV per formula unit
**N(E_F)**: 5.6 states/eV/cell
**Total moment**: 0.1925 μB/atom

Cell: 5.311 5.311 5.311 Å, 60.00 60.00 60.00°
Fractional positions:
Ga (0.000, 0.000, 0.000)
I (0.750, 0.750, 0.750)
I (0.250, 0.250, 0.250)
Pd (0.500, 0.500, 0.500)



9.
Here is a geometry-optimized Pm8Ga3PdI4 structure from Alexandria. Energies are from PBE.

**Formation energy without anion corrections**: -12.23 eV per formula unit
**N(E_F)**: 14.7 states/eV/cell
**Total moment**: 0.0001 μB/atom

Cell: 8.675 9.094 8.682 Å, 118.56 119.97 90.00°
Fractional positions:
Pm (0.263, 0.288, 0.525)
Pm (0.767, 0.297, 0.030)
Pm (0.233, 0.703, 0.970)
Pm (0.737, 0.712, 0.475)
Pm (0.737, 0.703, 0.970)
Pm (0.233, 0.703, 0.466)
Pm (0.263, 0.297, 0.030)
Pm (0.767, 0.297, 0.534)
Pd (0.000, 0.500, 0.000)
I (0.500, 0.000, 0.000)
I (0.000, 0.000, 0.000)
I (0.500, 0.000, 0.500)
I (0.000, 0.000, 0.500)
Ga (0.500, 0.500, 0.500)
Ga (0.500, 0.500, 0.000)
Ga (0.000, 0.500, 0.500)



10.
Here is a geometry-optimized Pr8Ga3PdI4 structure from Alexandria. Energies are from PBE.

**Formation energy without anion corrections**: -12.42 eV per formula unit
**N(E_F)**: 15.0 states/eV/cell
**Total moment**: 0.0000 μB/atom

Cell: 8.800 9.222 8.813 Å, 118.61 119.95 90.00°
Fractional positions:
Pr (0.262, 0.285, 0.524)
Pr (0.766, 0.295, 0.532)
Pr (0.234, 0.705, 0.468)
Pr (0.738, 0.715, 0.476)
Pr (0.737, 0.705, 0.971)
Pr (0.766, 0.295, 0.029)
Pr (0.263, 0.295, 0.029)
Pr (0.234, 0.705, 0.971)
Ga (0.500, 0.500, 0.500)
Ga (0.000, 0.500, 0.500)
Ga (0.500, 0.500, 0.000)
I (0.000, 0.000, 0.000)
I (0.500, 0.000, 0.500)
I (0.000, 0.000, 0.500)
I (0.500, 0.000, 0.000)
Pd (0.000, 0.500, 0.000)



11.
Here is a geometry-optimized Pr4GaPdI2 structure from Alexandria. Energies are from PBE.

**Formation energy without anion corrections**: -6.30 eV per formula unit
**N(E_F)**: 8.3 states/eV/cell
**Total moment**: 0.0000 μB/atom

Cell: 4.211 7.848 8.166 Å, 106.80 90.00 90.00°
Fractional positions:
Pr (0.500, 0.227, 0.195)
Pr (0.000, 0.260, 0.790)
Pr (0.000, 0.740, 0.210)
Pr (0.500, 0.773, 0.805)
Ga (0.500, 0.500, 0.000)
I (0.500, 0.000, 0.500)
I (0.000, 0.500, 0.500)
Pd (0.000, 0.000, 0.000)



12.
Here is a geometry-optimized Ga2RePdI structure from Alexandria. Energies are from PBE.

**Formation energy without anion corrections**: 3.25 eV per formula unit
**N(E_F)**: 4.2 states/eV/cell
**Total moment**: 0.0000 μB/atom

Cell: 4.982 4.939 4.982 Å, 90.00 90.00 90.00°
Fractional positions:
Pd (0.000, 0.500, 0.000)
I (0.500, 0.500, 0.500)
Re (0.000, 0.000, 0.000)
Ga (0.500, 0.000, 0.000)
Ga (0.000, 0.000, 0.500)



13.
Here is a geometry-optimized GaPdRuI2 structure from Alexandria. Energies are from PBE.

**Formation energy without anion corrections**: 4.08 eV per formula unit
**N(E_F)**: 5.3 states/eV/cell
**Total moment**: 0.5902 μB/atom

Cell: 5.600 4.736 5.600 Å, 90.00 90.00 90.00°
Fractional positions:
Pd (0.000, 0.000, 0.000)
I (0.500, 0.000, 0.000)
I (0.000, 0.000, 0.500)
Ga (0.000, 0.500, 0.000)
Ru (0.500, 0.500, 0.500)



14.
Here is a geometry-optimized GaSbPdI2 structure from Alexandria. Energies are from PBE.

**E above lowest polymorph**: 0.0000 eV/atom
**Formation energy without anion corrections**: 0.67 eV per formula unit
**N(E_F)**: 3.7 states/eV/cell
**Total moment**: 0.0821 μB/atom

Cell: 5.708 5.708 5.121 Å, 90.00 90.00 90.00°
Fractional positions:
I (0.000, 0.500, 0.000)
I (0.500, 0.000, 0.000)
Sb (0.000, 0.000, 0.500)
Pd (0.000, 0.000, 0.000)
Ga (0.500, 0.500, 0.500)



15.
Here is a geometry-optimized GaSbPdI2 structure from Alexandria. Energies are from PBE.

**E above lowest polymorph**: 0.4796 eV/atom
**Formation energy without anion corrections**: 3.07 eV per formula unit
**N(E_F)**: 4.4 states/eV/cell
**Total moment**: 0.0981 μB/atom

Cell: 5.601 5.601 5.330 Å, 90.00 90.00 90.00°
Fractional positions:
I (0.500, 0.000, 0.000)
I (0.000, 0.500, 0.000)
Sb (0.000, 0.000, 0.500)
Pd (0.500, 0.500, 0.500)
Ga (0.000, 0.000, 0.000)



16.
Here is a geometry-optimized Ga2PdSeI structure from Alexandria. Energies are from PBE.

**Formation energy without anion corrections**: 2.85 eV per formula unit
**N(E_F)**: 5.1 states/eV/cell
**Total moment**: 0.1608 μB/atom

Cell: 5.956 5.956 4.965 Å, 90.00 90.00 90.00°
Fractional positions:
Ga (0.500, 0.000, 0.000)
Ga (0.000, 0.500, 0.000)
I (0.000, 0.000, 0.000)
Pd (0.000, 0.000, 0.500)
Se (0.500, 0.500, 0.500)



17.
Here is a geometry-optimized Sr2GaPdI structure from Alexandria. Energies are from PBE.

**Formation energy without anion corrections**: -3.76 eV per formula unit
**N(E_F)**: 2.0 states/eV/cell
**Total moment**: 0.0000 μB/atom

Cell: 6.051 6.051 4.752 Å, 90.00 90.00 90.00°
Fractional positions:
Sr (0.000, 0.500, 0.000)
Sr (0.500, 0.000, 0.000)
I (0.500, 0.500, 0.500)
Ga (0.000, 0.000, 0.500)
Pd (0.000, 0.000, 0.000)



18.
Here is a geometry-optimized GaTe2PdI structure from Alexandria. Energies are from PBE.

**E above lowest polymorph**: 0.4816 eV/atom
**Formation energy without anion corrections**: 3.12 eV per formula unit
**N(E_F)**: 8.7 states/eV/cell
**Total moment**: 0.1433 μB/atom

Cell: 5.365 5.365 5.561 Å, 90.00 90.00 90.00°
Fractional positions:
Te (0.000, 0.500, 0.000)
Te (0.500, 0.000, 0.000)
Pd (0.500, 0.500, 0.500)
Ga (0.000, 0.000, 0.000)
I (0.000, 0.000, 0.500)



19.
Here is a geometry-optimized GaTePdI2 structure from Alexandria. Energies are from PBE.

**E above lowest polymorph**: 0.4770 eV/atom
**Formation energy without anion corrections**: 2.56 eV per formula unit
**N(E_F)**: 7.6 states/eV/cell
**Total moment**: 0.1567 μB/atom

Cell: 5.595 5.595 5.404 Å, 90.00 90.00 90.00°
Fractional positions:
Ga (0.000, 0.000, 0.000)
I (0.000, 0.500, 0.000)
I (0.500, 0.000, 0.000)
Pd (0.500, 0.500, 0.500)
Te (0.000, 0.000, 0.500)



20.
Here is a geometry-optimized GaTe2PdI structure from Alexandria. Energies are from PBE.

**E above lowest polymorph**: 0.0000 eV/atom
**Formation energy without anion corrections**: 0.71 eV per formula unit
**N(E_F)**: 6.0 states/eV/cell
**Total moment**: 0.0000 μB/atom

Cell: 5.313 5.313 5.660 Å, 90.00 90.00 90.00°
Fractional positions:
Ga (0.500, 0.500, 0.500)
Pd (0.000, 0.000, 0.000)
Te (0.000, 0.500, 0.000)
Te (0.500, 0.000, 0.000)
I (0.000, 0.000, 0.500)